# 1
Ce2UN4, optimized geometry, DFT GGA-PBE; raw formation energy = -1.2944 eV per atom; density of states at the Fermi level = 8.691 states/eV/f.u.
1.0
6.370 -0.096 0.166
-2.212 5.974 -0.166
-1.945 -3.034 5.256
Ce U N
4 2 8
Direct
0.875 0.134 0.509 Ce
0.491 0.366 0.625 Ce
0.375 0.866 0.741 Ce
0.259 0.634 0.125 Ce
0.000 0.000 0.000 U
0.750 0.500 0.250 U
0.099 0.854 0.360 N
0.640 0.739 0.494 N
0.995 0.646 0.756 N
0.244 0.239 0.890 N
0.651 0.761 0.005 N
0.755 0.261 0.901 N
0.506 0.146 0.245 N
0.110 0.354 0.349 N


# 2
CeU5N6, optimized geometry, DFT GGA-PBE; raw formation energy = -1.3439 eV per atom; density of states at the Fermi level = 23.822 states/eV/f.u.
1.0
-3.813 -4.614 0.260
0.858 -3.020 5.107
-3.058 1.505 4.923
U Ce N
5 1 6
Direct
0.500 0.164 0.672 U
0.000 0.333 0.334 U
0.500 0.500 0.000 U
0.000 0.667 0.666 U
0.500 0.836 0.328 U
0.000 0.000 0.000 Ce
0.742 0.086 0.345 N
0.258 0.569 0.345 N
0.254 0.260 0.000 N
0.746 0.740 0.000 N
0.742 0.431 0.655 N
0.258 0.914 0.655 N


# 3
CeUN, optimized geometry, DFT GGA-PBE; raw formation energy = -0.5030 eV per atom; density of states at the Fermi level = 4.454 states/eV/f.u.
1.0
3.178 0.000 0.000
0.000 3.178 0.000
-1.589 -1.589 5.740
U Ce N
1 1 1
Direct
0.596 0.596 0.193 U
0.834 0.834 0.667 Ce
0.420 0.420 0.840 N


Among the records above, which one has the lowest raw formation energy?
CeU5N6


Repeat the second record exactly.
CeU5N6, optimized geometry, DFT GGA-PBE; raw formation energy = -1.3439 eV per atom; density of states at the Fermi level = 23.822 states/eV/f.u.
1.0
-3.813 -4.614 0.260
0.858 -3.020 5.107
-3.058 1.505 4.923
U Ce N
5 1 6
Direct
0.500 0.164 0.672 U
0.000 0.333 0.334 U
0.500 0.500 0.000 U
0.000 0.667 0.666 U
0.500 0.836 0.328 U
0.000 0.000 0.000 Ce
0.742 0.086 0.345 N
0.258 0.569 0.345 N
0.254 0.260 0.000 N
0.746 0.740 0.000 N
0.742 0.431 0.655 N
0.258 0.914 0.655 N


Among the records above, which one has the highest density of states at the Fermi level?
CeU5N6